# La2GaNi16

An optimized crystal structure of La2GaNi16 (PBE, Alexandria via LeMat-Bulk).

The structure in POSCAR format:
```
La2GaNi16
1.0
4.2084 2.4297 4.0904
-4.2084 2.4297 4.0904
0.0000 -4.8594 4.0904
La Ga Ni
2 1 16
direct
0.0000 0.0000 0.0000
0.3122 0.3122 0.3122
0.5678 0.5678 0.5678
0.0010 0.0010 0.5076
0.0010 0.5076 0.0010
0.1604 0.6583 0.6583
0.3171 0.3171 0.8102
0.3171 0.8102 0.3171
0.3680 0.6598 0.9518
0.3680 0.9518 0.6598
0.5076 0.0010 0.0010
0.6583 0.1604 0.6583
0.6583 0.6583 0.1604
0.6598 0.3680 0.9518
0.6598 0.9518 0.3680
0.7596 0.7596 0.7596
0.8102 0.3171 0.3171
0.9518 0.3680 0.6598
0.9518 0.6598 0.3680
```

Computed properties:
Total magnetization: 4.6 μB per formula unit
Electronic total energy: -5.760 eV per atom
Formation enthalpy at 0 K: -20.6 kJ per mole of atoms